# AlZnRh2

AlZnRh2 after structural relaxation (PBE, Alexandria).

The structure belongs to space group R-3m (No. 166, hexagonal axes); the cell edges are 2.8872, 2.8872 and 23.7359 Å and the angles 90.00°, 90.00° and 120.00°. Symmetry generates all atoms from Al at (0.0000, 0.0000, 0.0000), Zn at (0.0000, 0.0000, 0.5000) and Rh at (0.0000, 0.0000, 0.2529).

As for the density of states at the Fermi level: 5.07 states/eV/cell.

# Al3ZnRh4

Al3ZnRh4 after structural relaxation (PBE, Alexandria).

The structure belongs to space group Pmmm (No. 47); the cell edges are 3.0012, 4.2540 and 8.5008 Å and the angles 90.00°, 90.00° and 90.00°. Symmetry generates all atoms from Al at (0.0000, 0.0000, 0.0000), Al at (0.0000, 0.5000, 0.2529), Zn at (0.0000, 0.0000, 0.5000), Rh at (0.5000, 0.0000, 0.2435), Rh at (0.5000, 0.5000, 0.0000) and Rh at (0.5000, 0.5000, 0.5000).

As for the density of states at the Fermi level: 1.76 states/eV/cell.

# AlZnRh2

AlZnRh2 after structural relaxation (PBE, Alexandria).

The structure belongs to space group Fm-3m (No. 225); the cell edges are 6.0196, 6.0196 and 6.0196 Å and the angles 90.00°, 90.00° and 90.00°. Symmetry generates all atoms from Al at (0.0000, 0.0000, 0.0000), Zn at (0.0000, 0.0000, 0.5000) and Rh at (0.2500, 0.2500, 0.2500).

As for the density of states at the Fermi level: 5.29 states/eV/cell.

# AlZn3Rh4

AlZn3Rh4 after structural relaxation (PBE, Alexandria).

The structure belongs to space group P4/mmm (No. 123); the cell edges are 3.0093, 3.0093 and 12.1184 Å and the angles 90.00°, 90.00° and 90.00°. Symmetry generates all atoms from Al at (0.0000, 0.0000, 0.0000), Zn at (0.0000, 0.0000, 0.2503), Zn at (0.0000, 0.0000, 0.5000), Rh at (0.5000, 0.5000, 0.1207) and Rh at (0.5000, 0.5000, 0.3737).

As for the density of states at the Fermi level: 6.53 states/eV/cell.

# AlZnRh3

AlZnRh3 after structural relaxation (PBE, Alexandria).

The structure belongs to space group Pm-3m (No. 221); the cell edges are 4.4398, 4.4398 and 4.4398 Å and the angles 90.00°, 90.00° and 90.00°. Symmetry generates all atoms from Al at (0.0000, 0.0000, 0.0000), Zn at (0.5000, 0.5000, 0.5000) and Rh at (0.0000, 0.0000, 0.5000).

The value obtained for the energy above the most stable polymorph in this dataset is 0.0 kJ/mol of atoms. As for the density of states at the Fermi level: 6.43 states/eV/cell.

# AlZnRh2

AlZnRh2 after structural relaxation (PBE, Alexandria).

The structure belongs to space group C2/m (No. 12); the cell edges are 8.1950, 2.8633 and 4.9550 Å and the angles 90.00°, 101.93° and 90.00°. Symmetry generates all atoms from Al at (0.0000, 0.0000, 0.0000), Zn at (0.0000, 0.5000, 0.5000) and Rh at (0.2448, 0.5000, 0.2462).

As for the density of states at the Fermi level: 6.19 states/eV/cell.

# AlZnRh14

AlZnRh14 after structural relaxation (PBE, Alexandria).

The structure belongs to space group P4/mmm (No. 123); the cell edges are 5.4202, 5.4202 and 7.7032 Å and the angles 90.00°, 90.00° and 90.00°. Symmetry generates all atoms from Al at (0.0000, 0.0000, 0.0000), Zn at (0.5000, 0.5000, 0.0000), Rh at (0.0000, 0.0000, 0.5000), Rh at (0.0000, 0.5000, 0.0000), Rh at (0.0000, 0.5000, 0.5000), Rh at (0.2491, 0.2491, 0.2517) and Rh at (0.5000, 0.5000, 0.5000).

As for the density of states at the Fermi level: 17.58 states/eV/cell.

# AlZnRh2

AlZnRh2 after structural relaxation (PBE, Alexandria).

The structure belongs to space group I-4m2 (No. 119); the cell edges are 3.6927, 3.6927 and 8.2619 Å and the angles 90.00°, 90.00° and 90.00°. Symmetry generates all atoms from Al at (0.0000, 0.0000, 0.0000), Zn at (0.0000, 0.5000, 0.2500), Rh at (0.0000, 0.0000, 0.5000) and Rh at (0.0000, 0.5000, 0.7500).

As for the density of states at the Fermi level: 7.77 states/eV/cell.

| no. | calculated total energy (eV/atom) | M_tot (Bohr magnetons per cell) |
| --- | --- | --- |
| 1 | -5.47 | 0.0 |
| 2 | -6.20 | 0.0 |
| 3 | -5.72 | 0.0 |
| 4 | -5.21 | 0.0 |
| 5 | -4.95 | 1.3 |
| 6 | -5.44 | 0.0 |
| 7 | -6.89 | 0.0 |
| 8 | -5.39 | 0.0 |